Record 1
## LaPtBr (PBEsol)

Data for a relaxed structure of LaPtBr.

## Properties
The crystal system is cubic.

abc: 4.7714 4.7714 4.7714
angles: 60.00 60.00 60.00
Atoms (fractional coordinates):
La1 0.0000 0.0000 0.0000
Pt1 0.5000 0.5000 0.5000
Br1 0.2500 0.2500 0.2500

Record 2
## LaPtBr2 (PBEsol)

Data for a relaxed structure of LaPtBr2.

## Properties
The crystal system is orthorhombic. For the energy above the most stable polymorph in this dataset, the calculation gives 74 meV per atom.

abc: 4.2378 4.3639 4.7869
angles: 90.00 90.00 90.00
Atoms (fractional coordinates):
La1 0.0000 0.0000 0.0000
Pt1 0.0000 0.5000 0.5000
Br1 0.5000 0.0000 0.5000
Br2 0.5000 0.5000 0.0000

Record 3
## LaPtBr2 (PBEsol)

Data for a relaxed structure of LaPtBr2.

## Properties
The crystal system is tetragonal. For the energy above the most stable polymorph in this dataset, the calculation gives 0 meV per atom.

abc: 3.8047 3.8047 7.2625
angles: 90.00 90.00 90.00
Atoms (fractional coordinates):
La1 0.0000 0.0000 0.0000
Pt1 0.5000 0.5000 0.8239
Br1 0.0000 0.0000 0.6117
Br2 0.5000 0.5000 0.2448

VASP energy values (in eV/atom) by entry order: -5.41, -4.88, -4.95.
Energy relative to the elements, uncorrected values (in eV per atom) by entry order: -0.682, -0.863, -0.937.